ZnCo2Ni2: optimized geometry, PBE-GGA.

Calculated values
**Calculated formation energy**: 0.14 eV per atom
**V**: 12.021 Å³ per atom
**SG**: No. 127

```
10
Lattice="6.8963 0.0000 0.0000 0.0000 6.8963 0.0000 0.0000 0.0000 2.5275" Properties=species:S:1:pos:R:3 pbc="T T T"
Zn 3.4482 3.4482 0.0000
Zn 0.0000 0.0000 0.0000
Co 2.2539 1.1943 1.2638
Ni 6.0466 4.2978 0.0000
Co 1.1943 4.6424 1.2638
Ni 2.5985 6.0466 0.0000
Co 5.7020 2.2539 1.2638
Ni 0.8497 2.5985 0.0000
Co 4.6424 5.7020 1.2638
Ni 4.2978 0.8497 0.0000
```